The following is a DFT calculation (PBE) of a relaxed DyErPdRu crystal.

Unit cell a=3.4352 b=3.4352 c=6.8841 alpha=90.00 beta=90.00 gamma=90.00
Fractional coordinates of all 4 atoms:
Dy 0.5000 0.5000 0.1172
Er 0.5000 0.5000 0.5976
Pd 0.0000 0.0000 0.8536
Ru 0.0000 0.0000 0.3596

Results
Energy relative to the lowest polymorph listed for this composition ... 0 kJ/mol of formula units
ΔE_f ... -16.3 kcal/mol of atoms
VASP energy ... -26.5 eV for the cell shown
Crystal system ... tetragonal

The following is a DFT calculation (PBE) of a relaxed VCrS2Cl crystal.

Unit cell a=4.6140 b=4.6140 c=4.7684 alpha=90.00 beta=90.00 gamma=90.00
Fractional coordinates of all 5 atoms:
Cr 0.5000 0.5000 0.5000
S 0.0000 0.5000 0.0000
S 0.5000 0.0000 0.0000
Cl 0.0000 0.0000 0.5000
V 0.0000 0.0000 0.0000

Results
Energy relative to the lowest polymorph listed for this composition ... 0 kJ/mol of formula units
ΔE_f (raw) ... -0.118 eV per atom
VASP energy ... -29.4 eV for the cell shown
Crystal system ... tetragonal

Across the entries above, mass density takes the values 10.98; 3.31 g cm⁻³, respectively.